# NpTl2RhO6

A relaxed structure of NpTl2RhO6 (PBE, Alexandria via LeMat-Bulk).

**Uncorrected formation energy**: -1422 kJ/mol of formula units
**D(E_F)**: 5.53 states/eV/f.u.
**Magnetization**: 0.1 μB per formula unit

a = 6.0246 Å, b = 6.0246 Å, c = 29.9706 Å
α = 90.00°, β = 90.00°, γ = 120.00°
With the nearest neighbours (Å) after each atom.
Space group R-3m (No. 166, hexagonal axes)
One atom of each set of equivalent atoms:
1 Np 0.0000 0.0000 0.0000 x3  6 O 2.07
2 Np 0.0000 0.0000 0.5000 x3  6 O 2.06
3 Tl 0.0000 0.0000 0.1216 x6  12 O 3.02-3.36
4 Tl 0.0000 0.0000 0.2819 x6  9 O 2.84-3.04
5 Rh 0.0000 0.0000 0.4065 x6  6 O 2.04-2.08
6 O 0.0028 0.5014 0.7048 x18  1 Rh 2.04, 1 Np 2.07
7 O 0.0411 0.5205 0.1205 x18  1 Np 2.06, 1 Rh 2.08

---

# BaScMo2

A relaxed structure of BaScMo2 (PBE, Alexandria via LeMat-Bulk).

**Energy relative to the lowest polymorph listed for this composition**: 179 meV/atom
**ΔH_f (0 K)**: 564.4 meV/atom
**D(E_F)**: 3.75 states/eV/f.u.
**Magnetization**: 0.0 μB per formula unit

a = 8.1983 Å, b = 3.2513 Å, c = 7.8887 Å
α = 90.00°, β = 93.41°, γ = 90.00°
With the nearest neighbours (Å) after each atom.
Space group Cm (No. 8)
One atom of each set of equivalent atoms:
1 Ba 0.0000 0.0000 0.0000 x2  3 Mo 3.19-3.55, 2 Ba 3.25
2 Sc 0.2244 0.0000 0.6167 x2  5 Mo 2.68-2.97
3 Mo 0.2642 0.5000 0.3070 x2  3 Mo 2.52-2.59
4 Mo 0.4866 0.0000 0.4295 x2  3 Mo 2.52-2.59, 1 Sc 2.68

---

# Ti6In2S

A relaxed structure of Ti6In2S (PBE, Alexandria via LeMat-Bulk).

**Uncorrected formation energy**: -381 kJ/mol of formula units
**D(E_F)**: 7.38 states/eV/f.u.
**Magnetization**: 0.0 μB per formula unit

a = 7.4437 Å, b = 7.4437 Å, c = 3.2796 Å
α = 90.00°, β = 90.00°, γ = 120.00°
With the nearest neighbours (Å) after each atom.
Space group P-62m (No. 189)
One atom of each set of equivalent atoms:
1 Ti 0.0000 0.2427 0.0000 x3  2 S 2.44
2 Ti 0.0000 0.6422 0.5000 x3  1 S 2.66, 4 Ti 2.87, 4 In 2.90
3 In 0.3333 0.6667 0.0000 x2  9 Ti 2.88-2.90
4 S 0.0000 0.0000 0.5000 x1  9 Ti 2.44-2.66

---

# KPdSeN2

A relaxed structure of KPdSeN2 (PBE, Alexandria via LeMat-Bulk).

**Energy relative to the lowest polymorph listed for this composition**: 0 meV/atom
**Uncorrected formation energy**: 579 kJ/mol of formula units
**D(E_F)**: 7.33 states/eV/f.u.
**Magnetization**: 0.1 μB per formula unit

a = 4.1221 Å, b = 4.1221 Å, c = 5.3245 Å
α = 90.00°, β = 90.00°, γ = 90.00°
With the nearest neighbours (Å) after each atom.
Space group P4/mmm (No. 123)
One atom of each set of equivalent atoms:
1 K 0.0000 0.0000 0.0000 x1  4 Se 2.91
2 Pd 0.5000 0.5000 0.5000 x1  4 N 2.06
3 Se 0.5000 0.5000 0.0000 x1  2 Pd 2.66, 4 K 2.91
4 N 0.0000 0.5000 0.5000 x2  2 Pd 2.06

---

# PmNpIr4

A relaxed structure of PmNpIr4 (PBE, Alexandria via LeMat-Bulk).

**ΔH_f (0 K)**: -551.7 meV/atom
**D(E_F)**: 9.02 states/eV/f.u.
**Magnetization**: 3.5 μB per formula unit

a = 7.6127 Å, b = 7.6127 Å, c = 7.6127 Å
α = 90.00°, β = 90.00°, γ = 90.00°
With the nearest neighbours (Å) after each atom.
Space group F-43m (No. 216)
One atom of each set of equivalent atoms:
1 Pm 0.0000 0.0000 0.0000 x4  12 Ir 3.16, 4 Np 3.30
2 Np 0.2500 0.2500 0.2500 x4  12 Ir 3.16, 4 Pm 3.30
3 Ir 0.1248 0.1248 0.6248 x16  6 Ir 2.69-2.70

---

# RbGe2BiO6

A relaxed structure of RbGe2BiO6 (PBE, Alexandria via LeMat-Bulk).

**Uncorrected formation energy**: -1541 kJ/mol of formula units
**D(E_F)**: 0.00 states/eV/f.u.
**Magnetization**: 0.0 μB per formula unit

a = 10.9624 Å, b = 10.3196 Å, c = 5.8055 Å
α = 90.00°, β = 102.64°, γ = 90.00°
With the nearest neighbours (Å) after each atom.
Space group C2/c (No. 15)
One atom of each set of equivalent atoms:
1 Rb 0.0000 0.1790 0.2500 x4  8 O 2.90-3.01
2 Ge 0.2205 0.0837 0.7911 x8  4 O 1.74-1.82
3 Bi 0.0000 0.3848 0.7500 x4  6 O 2.31-2.43
4 O 0.1138 0.4315 0.1415 x8  1 Ge 1.78
5 O 0.1558 0.2369 0.7276 x8  1 Ge 1.74
6 O 0.1595 0.0142 0.0296 x8  2 Ge 1.81-1.82

---

# SrPbAu2

A relaxed structure of SrPbAu2 (PBE, Alexandria via LeMat-Bulk).

**ΔH_f (0 K)**: -383.2 meV/atom
**D(E_F)**: 1.66 states/eV/f.u.
**Magnetization**: 0.0 μB per formula unit

a = 5.9629 Å, b = 9.7792 Å, c = 3.8532 Å
α = 90.00°, β = 90.00°, γ = 90.00°
With the nearest neighbours (Å) after each atom.
Space group Cmmm (No. 65)
One atom of each set of equivalent atoms:
1 Sr 0.0000 0.0000 0.0000 x2  8 Au 3.45, 4 Pb 3.55, 2 Sr 3.85
2 Pb 0.0000 0.5000 0.5000 x2  4 Au 2.86
3 Au 0.2500 0.2500 0.5000 x4  2 Pb 2.86, 2 Au 2.98

---

# CdP2Au

A relaxed structure of CdP2Au (PBE, Alexandria via LeMat-Bulk).

**ΔH_f (0 K)**: 217.6 meV/atom
**D(E_F)**: 2.13 states/eV/f.u.
**Magnetization**: 0.0 μB per formula unit

a = 3.1969 Å, b = 3.7955 Å, c = 13.1337 Å
α = 90.00°, β = 90.00°, γ = 90.00°
With the nearest neighbours (Å) after each atom.
Space group Imm2 (No. 44)
One atom of each set of equivalent atoms:
1 Cd 0.0000 0.0000 0.0000 x2  2 Au 2.83, 4 P 2.96
2 P 0.0000 0.0000 0.6232 x2  2 P 2.22
3 P 0.0000 0.5000 0.2405 x2  2 P 2.22
4 Au 0.0000 0.5000 0.8405 x2  4 P 2.81, 2 Cd 2.83

---

# K2Na4Hg

A relaxed structure of K2Na4Hg (PBE, Alexandria via LeMat-Bulk).

**Energy relative to the lowest polymorph listed for this composition**: 53 meV/atom
**ΔH_f (0 K)**: -4.5 meV/atom
**D(E_F)**: 4.06 states/eV/f.u.
**Magnetization**: 0.0 μB per formula unit

a = 5.9066 Å, b = 5.9066 Å, c = 19.5097 Å
α = 90.00°, β = 90.00°, γ = 90.00°
With the nearest neighbours (Å) after each atom.
Space group I4/mmm (No. 139)
One atom of each set of equivalent atoms:
1 K 0.0000 0.0000 0.1427 x4  9 Na 3.94-4.18
2 Na 0.0000 0.0000 0.3446 x4  1 Hg 3.03
3 Na 0.0000 0.5000 0.0000 x4  2 Hg 2.95
4 Hg 0.0000 0.0000 0.5000 x2  6 Na 2.95-3.03

---

# Cr4Tc

A relaxed structure of Cr4Tc (PBE, Alexandria via LeMat-Bulk).

**Energy relative to the lowest polymorph listed for this composition**: 0 meV/atom
**ΔH_f (0 K)**: 20.7 meV/atom
**D(E_F)**: 4.64 states/eV/f.u.
**Magnetization**: 0.0 μB per formula unit

a = 6.4920 Å, b = 6.4920 Å, c = 2.9041 Å
α = 90.00°, β = 90.00°, γ = 90.00°
With the nearest neighbours (Å) after each atom.
Space group I4/m (No. 87)
One atom of each set of equivalent atoms:
1 Cr 0.1022 0.6929 0.0000 x8  6 Cr 2.48-2.52, 2 Tc 2.55
2 Tc 0.0000 0.0000 0.5000 x2  8 Cr 2.55

---

# ReSb3

A relaxed structure of ReSb3 (PBE, Alexandria via LeMat-Bulk).

**Energy relative to the lowest polymorph listed for this composition**: 23 meV/atom
**Uncorrected formation energy**: 127 kJ/mol of formula units
**D(E_F)**: 2.76 states/eV/f.u.
**Magnetization**: 0.0 μB per formula unit

a = 3.2487 Å, b = 3.2487 Å, c = 8.8879 Å
α = 90.00°, β = 90.00°, γ = 90.00°
With the nearest neighbours (Å) after each atom.
Space group P4/mmm (No. 123)
One atom of each set of equivalent atoms:
1 Re 0.0000 0.0000 0.0000 x1  8 Sb 2.83
2 Sb 0.0000 0.0000 0.5000 x1  12 Sb 3.25-3.61
3 Sb 0.5000 0.5000 0.1864 x2  4 Re 2.83

---

# Sc3NiB7

A relaxed structure of Sc3NiB7 (PBE, Alexandria via LeMat-Bulk).

**ΔH_f (0 K)**: -687.2 meV/atom
**D(E_F)**: 4.12 states/eV/f.u.
**Magnetization**: 0.0 μB per formula unit

a = 3.2326 Å, b = 14.8667 Å, c = 9.0098 Å
α = 90.00°, β = 90.00°, γ = 90.00°
With the nearest neighbours (Å) after each atom.
Space group Cmcm (No. 63)
One atom of each set of equivalent atoms:
1 Sc 0.0000 0.1066 0.0567 x8  11 B 2.47-2.55
2 Sc 0.0000 0.2471 0.7500 x4  10 B 2.52-2.57
3 Ni 0.0000 0.0528 0.7500 x4  10 B 2.19-2.25
4 B 0.0000 0.2721 0.0323 x8  3 B 1.78-1.84
5 B 0.0000 0.3680 0.1507 x8  3 B 1.78-1.79
6 B 0.0000 0.4471 0.7500 x4  2 B 1.75
7 B 0.0000 0.4828 0.0934 x8  3 B 1.75-1.78

---

# FeSi5

A relaxed structure of FeSi5 (PBE, Alexandria via LeMat-Bulk).

**Energy relative to the lowest polymorph listed for this composition**: 457 meV/atom
**Uncorrected formation energy**: 380 kJ/mol of formula units
**D(E_F)**: 3.71 states/eV/f.u.
**Magnetization**: 2.8 μB per formula unit

a = 4.7618 Å, b = 4.7618 Å, c = 4.6864 Å
α = 90.00°, β = 90.00°, γ = 120.00°
With the nearest neighbours (Å) after each atom.
Space group P6/mmm (No. 191)
One atom of each set of equivalent atoms:
1 Fe 0.0000 0.0000 0.0000 x1  6 Si 2.75
2 Si 0.0000 0.5000 0.5000 x3  4 Si 2.38
3 Si 0.3333 0.6667 0.0000 x2  9 Si 2.72-2.75, 3 Fe 2.75

---

# V2PdRh9

A relaxed structure of V2PdRh9 (PBE, Alexandria via LeMat-Bulk).

**ΔH_f (0 K)**: -243.8 meV/atom
**D(E_F)**: 13.91 states/eV/f.u.
**Magnetization**: 0.0 μB per formula unit

a = 3.8359 Å, b = 3.8359 Å, c = 11.4596 Å
α = 90.00°, β = 90.00°, γ = 90.00°
With the nearest neighbours (Å) after each atom.
Space group P4/mmm (No. 123)
One atom of each set of equivalent atoms:
1 V 0.0000 0.0000 0.1691 x2  12 Rh 2.62-2.73
2 Pd 0.0000 0.0000 0.5000 x1  12 Rh 2.71-2.77
3 Rh 0.0000 0.5000 0.0000 x2  8 Rh 2.69-2.71, 4 V 2.73
4 Rh 0.0000 0.5000 0.3255 x4  2 V 2.62, 8 Rh 2.66-2.77, 2 Pd 2.77
5 Rh 0.5000 0.5000 0.1641 x2  8 Rh 2.66-2.69, 4 V 2.71
6 Rh 0.5000 0.5000 0.5000 x1  4 Pd 2.71, 8 Rh 2.77

---

# Pu5B2C5

A relaxed structure of Pu5B2C5 (PBE, Alexandria via LeMat-Bulk).

**ΔH_f (0 K)**: -14.2 meV/atom
**D(E_F)**: 27.12 states/eV/f.u.
**Magnetization**: 4.1 μB per formula unit

a = 13.1346 Å, b = 3.0736 Å, c = 9.6262 Å
α = 90.00°, β = 125.71°, γ = 90.00°
With the nearest neighbours (Å) after each atom.
Space group C2/m (No. 12)
One atom of each set of equivalent atoms:
1 Pu 0.0000 0.0000 0.0000 x2  6 C 2.52-2.56, 4 B 2.71
2 Pu 0.1008 0.5000 0.4240 x4  5 C 2.40-2.55, 1 B 2.67
3 Pu 0.1542 0.5000 0.8011 x4  3 C 2.37-2.39
4 B 0.1945 0.5000 0.2417 x4  3 C 1.58-1.69
5 C 0.0000 0.0000 0.5000 x2  4 Pu 2.40
6 C 0.1747 0.5000 0.0631 x4  1 B 1.58
7 C 0.1933 0.0000 0.3125 x4  2 B 1.69

---

# TaCrSb2

A relaxed structure of TaCrSb2 (PBE, Alexandria via LeMat-Bulk).

**Energy relative to the lowest polymorph listed for this composition**: 292 meV/atom
**Uncorrected formation energy**: 141 kJ/mol of formula units
**D(E_F)**: 2.78 states/eV/f.u.
**Magnetization**: 4.5 μB per formula unit

a = 3.4509 Å, b = 3.4509 Å, c = 25.0235 Å
α = 90.00°, β = 90.00°, γ = 120.00°
With the nearest neighbours (Å) after each atom.
Space group R-3m (No. 166, hexagonal axes)
One atom of each set of equivalent atoms:
1 Ta 0.0000 0.0000 0.0000 x3  6 Sb 2.85
2 Cr 0.0000 0.0000 0.5000 x3  6 Sb 2.92
3 Sb 0.0000 0.0000 0.2517 x6  3 Ta 2.85, 3 Cr 2.92

---

# LiNdPt

A relaxed structure of LiNdPt (PBE, Alexandria via LeMat-Bulk).

**Energy relative to the lowest polymorph listed for this composition**: 0 meV/atom
**ΔH_f (0 K)**: -812.7 meV/atom
**D(E_F)**: 1.31 states/eV/f.u.
**Magnetization**: 0.0 μB per formula unit

a = 7.3315 Å, b = 7.3315 Å, c = 4.1393 Å
α = 90.00°, β = 90.00°, γ = 120.00°
With the nearest neighbours (Å) after each atom.
Space group P-62m (No. 189)
One atom of each set of equivalent atoms:
1 Li 0.0000 0.7683 0.0000 x3  4 Pt 2.68-2.89, 2 Li 2.94
2 Nd 0.0000 0.4079 0.5000 x3  5 Pt 2.99-3.04, 4 Li 3.32
3 Pt 0.0000 0.0000 0.5000 x1  6 Li 2.68, 3 Nd 2.99
4 Pt 0.3333 0.6667 0.0000 x2  3 Li 2.89, 6 Nd 3.04

---

# Fe2Cu2Pb

A relaxed structure of Fe2Cu2Pb (PBE, Alexandria via LeMat-Bulk).

**ΔH_f (0 K)**: 440.3 meV/atom
**D(E_F)**: 2.94 states/eV/f.u.
**Magnetization**: 5.4 μB per formula unit

a = 7.2851 Å, b = 7.2851 Å, c = 2.8905 Å
α = 90.00°, β = 90.00°, γ = 90.00°
With the nearest neighbours (Å) after each atom.
Space group P4/mbm (No. 127)
One atom of each set of equivalent atoms:
1 Fe 0.1141 0.3859 0.0000 x4  1 Fe 2.35, 6 Cu 2.58-2.62
2 Cu 0.1734 0.6734 0.5000 x4  6 Fe 2.58-2.62, 2 Cu 2.89
3 Pb 0.0000 0.0000 0.0000 x2  2 Pb 2.89, 4 Fe 2.93, 8 Cu 3.06

---

# Al2SiTe

A relaxed structure of Al2SiTe (PBE, Alexandria via LeMat-Bulk).

**Energy relative to the lowest polymorph listed for this composition**: 483 meV/atom
**Uncorrected formation energy**: 132 kJ/mol of formula units
**D(E_F)**: 1.00 states/eV/f.u.
**Magnetization**: 0.0 μB per formula unit

a = 4.7101 Å, b = 4.7101 Å, c = 3.5763 Å
α = 90.00°, β = 90.00°, γ = 90.00°
With the nearest neighbours (Å) after each atom.
Space group P4/mmm (No. 123)
One atom of each set of equivalent atoms:
1 Al 0.0000 0.5000 0.0000 x2  4 Te 2.96, 4 Si 2.96
2 Si 0.0000 0.0000 0.5000 x1  8 Al 2.96
3 Te 0.5000 0.5000 0.5000 x1  8 Al 2.96

---

# Li2CoRh

A relaxed structure of Li2CoRh (PBE, Alexandria via LeMat-Bulk).

**Energy relative to the lowest polymorph listed for this composition**: 92 meV/atom
**ΔH_f (0 K)**: 55.5 meV/atom
**D(E_F)**: 3.55 states/eV/f.u.
**Magnetization**: 2.3 μB per formula unit

a = 3.0352 Å, b = 3.0352 Å, c = 5.9312 Å
α = 90.00°, β = 90.00°, γ = 90.00°
With the nearest neighbours (Å) after each atom.
Space group P4mm (No. 99)
One atom of each set of equivalent atoms:
1 Li 0.0000 0.0000 0.0000 x1  4 Co 2.64, 4 Li 2.69, 1 Rh 2.75
2 Li 0.5000 0.5000 0.2732 x1  4 Rh 2.65, 4 Li 2.69, 1 Co 2.77
3 Co 0.5000 0.5000 0.7394 x1  4 Rh 2.46, 4 Li 2.64
4 Rh 0.0000 0.0000 0.5360 x1  4 Co 2.46, 5 Li 2.65-2.75

---

| no. | volume (Å³/atom) |
| --- | --- |
| 1 | 15.70 |
| 2 | 26.24 |
| 3 | 17.49 |
| 4 | 18.09 |
| 5 | 18.38 |
| 6 | 16.02 |
| 7 | 28.09 |
| 8 | 19.92 |
| 9 | 48.62 |
| 10 | 12.24 |
| 11 | 23.45 |
| 12 | 9.84 |
| 13 | 15.34 |
| 14 | 14.05 |
| 15 | 13.15 |
| 16 | 21.51 |
| 17 | 21.41 |
| 18 | 15.34 |
| 19 | 19.84 |
| 20 | 13.66 |